Density functional theory data (PBE with a Hubbard U) for AcMn2AgO8 after structural relaxation.

POSCAR file:
```
AcMn2AgO8
1.0
-1.230 1.395 5.638
-3.500 -3.777 -2.954
3.794 -5.161 2.105
Ac Mn Ag O
1 2 1 8
Direct
0.000 0.000 0.500
0.667 0.333 0.168
0.333 0.667 0.832
0.000 0.000 0.000
0.333 0.667 0.072
0.355 0.178 0.250
0.822 0.177 0.250
0.667 0.333 0.928
0.178 0.823 0.750
0.645 0.822 0.750
0.177 0.355 0.750
0.823 0.645 0.250
```

Values from the calculation:
For the density of states at the Fermi level, the calculation gives 6.872 states/eV per cell. The spin magnetization comes out at 2.00 μB per formula unit. Its crystal system is trigonal. The final energy comes out at -0.230 hartree per atom.

***

Density functional theory data (PBE with a Hubbard U) for Ac2MnAgO6 after structural relaxation.

POSCAR file:
```
Ac2MnAgO6
1.0
4.065 0.000 0.000
0.000 5.790 0.000
0.000 0.000 5.790
Ac Mn Ag O
2 1 1 6
Direct
0.114 0.500 0.000
0.114 0.000 0.500
0.645 0.500 0.500
0.636 0.000 0.000
0.662 0.267 0.267
0.662 0.267 0.733
0.152 0.500 0.500
0.138 0.000 0.000
0.662 0.733 0.733
0.662 0.733 0.267
```

Values from the calculation:
For the density of states at the Fermi level, the calculation gives 1.226 states/eV per cell. The spin magnetization comes out at 3.09 μB per formula unit. Its crystal system is tetragonal. The final energy comes out at -0.253 hartree per atom.